Entry 1:
Below is Y4ZrCl after structural relaxation, with properties calculated at the GGA-PBE level.

abc: 6.449 6.449 6.449
angles: 60.00 60.00 60.00
Sites, in units of the cell vectors:
Y (0.122, 0.122, 0.122)
Y (0.122, 0.122, 0.633)
Y (0.122, 0.633, 0.122)
Y (0.633, 0.122, 0.122)
Zr (0.750, 0.750, 0.750)
Cl (0.500, 0.500, 0.500)

## Properties
Raw formation energy   476.4 meV/atom


Entry 2:
Below is PmMgCu2H8 after structural relaxation, with properties calculated at the GGA-PBE level.

abc: 4.451 4.451 6.737
angles: 90.00 90.00 120.00
Sites, in units of the cell vectors:
Pm (0.000, 0.000, 0.000)
Mg (0.000, 0.000, 0.500)
Cu (0.333, 0.667, 0.746)
Cu (0.667, 0.333, 0.254)
H (0.017, 0.694, 0.295)
H (0.306, 0.323, 0.295)
H (0.323, 0.017, 0.705)
H (0.333, 0.667, 0.988)
H (0.667, 0.333, 0.012)
H (0.677, 0.983, 0.295)
H (0.694, 0.677, 0.705)
H (0.983, 0.306, 0.705)

## Properties
Electronic total energy   -3.5275 eV/atom


Entry 3:
Below is NiAsRu2 after structural relaxation, with properties calculated at the GGA-PBE level.

abc: 4.555 4.555 4.438
angles: 96.25 96.25 36.60
Sites, in units of the cell vectors:
Ni (0.000, 0.000, 0.000)
As (0.242, 0.242, 0.771)
Ru (0.482, 0.482, 0.489)
Ru (0.741, 0.741, 0.240)

## Properties
Formation energy from the elements   0.088 eV per atom


Number 1: volume 31.60 A^3/atom. Number 2: volume 9.63 A^3/atom. Number 3: volume 13.64 A^3/atom.